# 1
VASP calculation (GGA-PBE) on a relaxed BaBiF2 crystal.

Geometry as CIF:
```
data_BaBiF2
_symmetry_space_group_name_H-M 'I -4 2 d'
_symmetry_Int_Tables_number 122
_symmetry_space_group_name_Hall 'I -4 2bw'
_cell_length_a 7.297
_cell_length_b 7.297
_cell_length_c 8.195
_cell_angle_alpha 90.00
_cell_angle_beta 90.00
_cell_angle_gamma 90.00
loop_
_atom_site_label
_atom_site_type_symbol
_atom_site_fract_x
_atom_site_fract_y
_atom_site_fract_z
Ba1 Ba 0.000 0.000 0.000
Bi1 Bi 0.000 0.000 0.500
F1 F 0.189 0.750 0.125
```

Summary:
- Fermi-level density of states: 0.53 states/eV/atom
- VASP energy: -71.96 eV for the cell shown
- Energy relative to the lowest polymorph listed for this composition: 1.013 eV per formula unit
- Raw formation energy: -2111 meV per atom
- M_tot: 0.00 μB per formula unit


# 2
VASP calculation (GGA-PBE) on a relaxed SrCa4Be crystal.

Geometry as CIF:
```
data_SrCa4Be
_symmetry_space_group_name_H-M 'F -4 3 m'
_symmetry_Int_Tables_number 216
_symmetry_space_group_name_Hall 'F -4 2 3'
_cell_length_a 9.948
_cell_length_b 9.948
_cell_length_c 9.948
_cell_angle_alpha 90.00
_cell_angle_beta 90.00
_cell_angle_gamma 90.00
loop_
_atom_site_label
_atom_site_type_symbol
_atom_site_fract_x
_atom_site_fract_y
_atom_site_fract_z
Sr1 Sr 0.000 0.000 0.000
Ca1 Ca 0.124 0.124 0.376
Be1 Be 0.250 0.250 0.750
```

Summary:
- Fermi-level density of states: 0.97 states/eV/atom
- Energy relative to the elements: 583.4 meV per atom
- VASP energy: -39.66 eV for the cell shown
- M_tot: 0.00 μB per formula unit


# 3
VASP calculation (GGA-PBE) on a relaxed TiBeP2O crystal.

Geometry as CIF:
```
data_TiBeP2O
_symmetry_space_group_name_H-M 'P 4/m m m'
_symmetry_Int_Tables_number 123
_symmetry_space_group_name_Hall '-P 4 2'
_cell_length_a 4.881
_cell_length_b 4.881
_cell_length_c 3.631
_cell_angle_alpha 90.00
_cell_angle_beta 90.00
_cell_angle_gamma 90.00
loop_
_atom_site_label
_atom_site_type_symbol
_atom_site_fract_x
_atom_site_fract_y
_atom_site_fract_z
Ti1 Ti 0.000 0.000 0.000
Be1 Be 0.500 0.500 0.500
P1 P 0.000 0.500 0.000
O1 O 0.000 0.000 0.500
```

Summary:
- Fermi-level density of states: 0.80 states/eV/atom
- VASP energy: -27.75 eV for the cell shown
- Energy relative to the lowest polymorph listed for this composition: 1.895 eV per formula unit
- Raw formation energy: -70 meV per atom
- M_tot: 0.00 μB per formula unit


# 4
VASP calculation (GGA-PBE) on a relaxed KMnRh2 crystal.

Geometry as CIF:
```
data_KMnRh2
_symmetry_space_group_name_H-M 'I m m m'
_symmetry_Int_Tables_number 71
_symmetry_space_group_name_Hall '-I 2 2'
_cell_length_a 2.861
_cell_length_b 5.186
_cell_length_c 9.671
_cell_angle_alpha 90.00
_cell_angle_beta 90.00
_cell_angle_gamma 90.00
loop_
_atom_site_label
_atom_site_type_symbol
_atom_site_fract_x
_atom_site_fract_y
_atom_site_fract_z
K1 K 0.000 0.000 0.000
Mn1 Mn 0.000 0.000 0.500
Rh1 Rh 0.000 0.500 0.217
```

Summary:
- Fermi-level density of states: 0.90 states/eV/atom
- Energy relative to the elements: 583.0 meV per atom
- VASP energy: -45.28 eV for the cell shown
- Energy relative to the lowest polymorph listed for this composition: 1.258 eV per formula unit
- M_tot: 4.53 μB per formula unit


Q: Look up the M_tot of the second one.
A: 0.00 μB per formula unit


What did the first record say?
VASP calculation (GGA-PBE) on a relaxed BaBiF2 crystal.

Geometry as CIF:
```
data_BaBiF2
_symmetry_space_group_name_H-M 'I -4 2 d'
_symmetry_Int_Tables_number 122
_symmetry_space_group_name_Hall 'I -4 2bw'
_cell_length_a 7.297
_cell_length_b 7.297
_cell_length_c 8.195
_cell_angle_alpha 90.00
_cell_angle_beta 90.00
_cell_angle_gamma 90.00
loop_
_atom_site_label
_atom_site_type_symbol
_atom_site_fract_x
_atom_site_fract_y
_atom_site_fract_z
Ba1 Ba 0.000 0.000 0.000
Bi1 Bi 0.000 0.000 0.500
F1 F 0.189 0.750 0.125
```

Summary:
- Fermi-level density of states: 0.53 states/eV/atom
- VASP energy: -71.96 eV for the cell shown
- Energy relative to the lowest polymorph listed for this composition: 1.013 eV per formula unit
- Raw formation energy: -2111 meV per atom
- M_tot: 0.00 μB per formula unit


Q: The lowest VASP energy belongs to which entry?
A: BaBiF2